[1]
Compound: Zr4CoH
Source: Alexandria
Functional: PBE-GGA
Structure: relaxed

Calculated volume   227 Å³/cell
Total energy   -7.56 eV per atom

a b c (Å): 6.685 6.685 6.685
angles (deg): 106.14 106.14 116.36
Element x y z (fractional)
1 Zr 0.213 0.255 0.542
2 Zr 0.213 0.670 0.958
3 Zr 0.255 0.213 0.042
4 Zr 0.330 0.787 0.542
5 Zr 0.670 0.213 0.458
6 Zr 0.745 0.787 0.958
7 Zr 0.787 0.330 0.042
8 Zr 0.787 0.745 0.458
9 Co 0.125 0.875 0.250
10 Co 0.875 0.125 0.750
11 H 0.375 0.625 0.750
12 H 0.625 0.375 0.250

[2]
Compound: LaCd4Hg2
Source: Alexandria
Functional: PBE-GGA
Structure: relaxed

Calculated volume   352 Å³/cell
Formation enthalpy at 0 K   -0.198 eV/atom
Total energy   -1.51 eV per atom

a b c (Å): 8.630 8.630 4.724
angles (deg): 90.00 90.00 90.00
Element x y z (fractional)
1 La 0.000 0.000 0.000
2 La 0.500 0.500 0.500
3 Cd 0.104 0.355 0.500
4 Cd 0.145 0.604 0.000
5 Cd 0.355 0.104 0.500
6 Cd 0.396 0.855 0.000
7 Cd 0.604 0.145 0.000
8 Cd 0.645 0.896 0.500
9 Cd 0.855 0.396 0.000
10 Cd 0.896 0.645 0.500
11 Hg 0.185 0.815 0.500
12 Hg 0.315 0.315 0.000
13 Hg 0.685 0.685 0.000
14 Hg 0.815 0.185 0.500

[3]
Compound: La6ScCd2
Source: Alexandria
Functional: PBE-GGA
Structure: relaxed

Calculated volume   291 Å³/cell
Formation enthalpy at 0 K   -0.119 eV/atom
Total energy   -4.31 eV per atom

a b c (Å): 6.856 6.856 12.128
angles (deg): 106.65 106.65 32.31
Element x y z (fractional)
1 La 0.027 0.027 0.337
2 La 0.308 0.308 0.403
3 La 0.326 0.326 0.122
4 La 0.674 0.674 0.878
5 La 0.692 0.692 0.597
6 La 0.973 0.973 0.663
7 Sc 0.000 0.000 0.000
8 Cd 0.364 0.364 0.824
9 Cd 0.636 0.636 0.176

[4]
Compound: Ac4TlSi2
Source: Alexandria
Functional: PBE-GGA
Structure: relaxed

Calculated volume   539 Å³/cell
Total energy   -4.55 eV per atom
Formation energy from raw total energies   -0.315 eV per atom

a b c (Å): 8.854 8.854 10.189
angles (deg): 124.79 124.79 71.69
Element x y z (fractional)
1 Ac 0.204 0.793 0.929
2 Ac 0.207 0.796 0.571
3 Ac 0.274 0.364 0.071
4 Ac 0.364 0.274 0.571
5 Ac 0.636 0.726 0.429
6 Ac 0.726 0.636 0.929
7 Ac 0.793 0.204 0.429
8 Ac 0.796 0.207 0.071
9 Tl 0.125 0.875 0.250
10 Tl 0.875 0.125 0.750
11 Si 0.000 0.500 0.500
12 Si 0.500 0.000 0.000
13 Si 0.500 0.500 0.000
14 Si 0.500 0.500 0.500

[5]
Compound: NaLi2Ga10
Source: Alexandria
Functional: PBE-GGA
Structure: relaxed

Calculated volume   245 Å³/cell
Formation enthalpy at 0 K   -0.097 eV/atom
Total energy   -2.82 eV per atom

a b c (Å): 9.231 7.163 7.101
angles (deg): 80.65 49.97 49.38
Element x y z (fractional)
1 Na 0.000 0.000 0.000
2 Li 0.000 0.500 0.000
3 Li 0.500 0.000 0.500
4 Ga 0.000 0.000 0.500
5 Ga 0.005 0.348 0.652
6 Ga 0.274 0.497 0.503
7 Ga 0.348 0.005 0.995
8 Ga 0.497 0.274 0.726
9 Ga 0.500 0.500 0.000
10 Ga 0.503 0.726 0.274
11 Ga 0.652 0.995 0.005
12 Ga 0.726 0.503 0.497
13 Ga 0.995 0.652 0.348

[6]
Compound: SrErSi3
Source: Alexandria
Functional: PBE-GGA
Structure: relaxed

Calculated volume   219 Å³/cell
Total energy   -5.02 eV per atom
Formation energy from raw total energies   -0.515 eV per atom

a b c (Å): 12.654 12.654 3.929
angles (deg): 90.00 90.00 159.63
Element x y z (fractional)
1 Sr 0.074 0.926 0.750
2 Sr 0.926 0.074 0.250
3 Er 0.204 0.796 0.250
4 Er 0.796 0.204 0.750
5 Si 0.318 0.682 0.250
6 Si 0.376 0.624 0.750
7 Si 0.474 0.526 0.750
8 Si 0.526 0.474 0.250
9 Si 0.624 0.376 0.250
10 Si 0.682 0.318 0.750